Entry 1:
A relaxed Pr5SmDy4 crystal. Source: Alexandria, functional PBE.

The density of states at the Fermi level comes out at 1.5631 states/eV/atom. The total magnetization comes out at 0.0 μB per formula unit. The value obtained for the calculated formation energy is 0.1420 eV per atom.

a b c (Å): 9.3771 9.3771 10.6320
angles (deg): 96.11 96.11 22.22
Fractional positions:
Pr 0.0000 0.0000 0.0000
Pr 0.3100 0.3100 0.9003
Pr 0.3585 0.3585 0.2705
Pr 0.6415 0.6415 0.7295
Pr 0.6900 0.6900 0.0997
Sm 0.0000 0.0000 0.5000
Dy 0.1827 0.1827 0.4131
Dy 0.4538 0.4538 0.7375
Dy 0.5462 0.5462 0.2625
Dy 0.8173 0.8173 0.5869

=====

Entry 2:
A relaxed NbBi3Pd crystal. Source: Alexandria, functional PBE.

The density of states at the Fermi level comes out at 0.8492 states/eV/atom. The total magnetization comes out at 2.8 μB per formula unit. The value obtained for the calculated formation energy is 0.7915 eV per atom.

a b c (Å): 5.3224 5.3224 5.3224
angles (deg): 90.00 90.00 90.00
Fractional positions:
Nb 0.0000 0.0000 0.0000
Bi 0.0000 0.5000 0.5000
Bi 0.5000 0.0000 0.5000
Bi 0.5000 0.5000 0.0000
Pd 0.5000 0.5000 0.5000

=====

Entry 3:
A relaxed ScTlOs2 crystal. Source: Alexandria, functional PBE.

The density of states at the Fermi level comes out at 0.6864 states/eV/atom. The total magnetization comes out at 0.0 μB per formula unit. The value obtained for the calculated formation energy is 0.2272 eV per atom.

a b c (Å): 2.9151 3.7899 6.8503
angles (deg): 90.00 90.10 90.00
Fractional positions:
Sc 0.0000 0.0000 0.0000
Tl 0.5004 0.5000 0.3134
Os 0.0016 0.0000 0.6059
Os 0.5030 0.5000 0.7551